(1)
An optimized crystal structure of ScMnRu2, computed with PBE.

a b c (Å): 2.853 2.853 7.576
angles (deg): 90.00 90.00 90.00
Fractional positions:
Sc1 0.000 0.000 0.000
Mn1 0.500 0.500 0.270
Ru1 0.000 0.000 0.501
Ru2 0.500 0.500 0.721

## Properties
The calculation puts the magnetic moment at 2.73 μB per formula unit. For the energy of formation, the calculation gives 0.21 eV/f.u. Its space group is P4mm, No. 99. The value obtained for the total energy is -8.46 eV per atom.

=====

(2)
An optimized crystal structure of Al2PW, computed with PBE.

a b c (Å): 5.293 5.293 3.020
angles (deg): 105.74 105.74 120.47
Fractional positions:
Al1 0.000 0.500 0.000
Al2 0.500 0.000 0.000
P1 0.000 0.000 0.000
W1 0.500 0.500 0.000

## Properties
The calculation puts the magnetic moment at 0.00 μB per formula unit. For the energy of formation, the calculation gives 0.87 eV/f.u. Its space group is C2/m, No. 12. The value obtained for the total energy is -6.25 eV per atom.

=====

(3)
An optimized crystal structure of MgAsRu4, computed with PBE.

a b c (Å): 5.168 5.168 5.168
angles (deg): 60.00 60.00 60.00
Fractional positions:
Mg1 0.000 0.000 0.000
As1 0.250 0.250 0.250
Ru1 0.126 0.625 0.625
Ru2 0.625 0.126 0.625
Ru3 0.625 0.625 0.126
Ru4 0.625 0.625 0.625

## Properties
The calculation puts the magnetic moment at 2.17 μB per formula unit. For the energy of formation, the calculation gives 2.53 eV/f.u. Its space group is F-43m, No. 216. The value obtained for the total energy is -6.80 eV per atom.